No. 1
Density functional theory data (PBE) for LiCaZn2Ga4 after structural relaxation.

abc: 4.3694 4.3694 9.4439
angles: 76.62 76.62 60.00
With the nearest neighbours (Å) after each atom.
Fractional coordinates of all 8 atoms:
Li 0.5000 0.5000 0.5000  8 Ga 2.74-2.76
Ca 0.0000 0.0000 0.0000  6 Ga 3.09
Zn 0.7648 0.7648 0.7055  7 Ga 2.65-2.93
Zn 0.2352 0.2352 0.2945  7 Ga 2.65-2.93
Ga 0.3989 0.3989 0.8032  3 Zn 2.67, 1 Li 2.76
Ga 0.8721 0.8721 0.3837  4 Zn 2.65-2.93, 3 Li 2.74
Ga 0.1279 0.1279 0.6163  4 Zn 2.65-2.93, 3 Li 2.74
Ga 0.6011 0.6011 0.1968  3 Zn 2.67, 1 Li 2.76

Output
* ΔE_f: -0.217 eV per atom
* calculated density: 5.04 g/cm³



No. 2
Density functional theory data (PBE) for Cu2SiTc after structural relaxation.

abc: 5.2219 4.3449 2.6353
angles: 87.50 76.45 113.89
With the nearest neighbours (Å) after each atom.
Fractional coordinates of all 4 atoms:
Cu 0.0000 0.0000 0.0000  6 Cu 2.49-2.64, 2 Tc 2.63, 2 Si 2.63
Cu 0.0000 0.5000 0.5000  6 Cu 2.49-2.64, 2 Si 2.63, 2 Tc 2.63
Si 0.5000 0.5000 0.0000  4 Tc 2.49-2.59, 4 Cu 2.63, 2 Si 2.64
Tc 0.5000 0.0000 0.5000  4 Si 2.49-2.59, 4 Cu 2.63, 2 Tc 2.64

Output
* ΔE_f (raw): 0.00 eV per atom
* calculated density: 8.01 g/cm³



No. 3
Density functional theory data (PBE) for TbTmZnCd after structural relaxation.

abc: 5.1600 5.1600 5.1600
angles: 60.00 60.00 60.00
With the nearest neighbours (Å) after each atom.
Fractional coordinates of all 4 atoms:
Zn 0.7500 0.7500 0.7500  4 Tm 3.16, 4 Tb 3.16
Tm 0.5000 0.5000 0.5000  4 Zn 3.16, 4 Cd 3.16
Tb 0.0000 0.0000 0.0000  4 Cd 3.16, 4 Zn 3.16
Cd 0.2500 0.2500 0.2500  4 Tb 3.16, 4 Tm 3.16

Output
* ΔE_f: -0.313 eV per atom
* polymorph energy (0 for the lowest one): 19 meV/atom
* calculated density: 8.64 g/cm³



No. 4
Density functional theory data (PBE) for Pm2ThPt3 after structural relaxation.

abc: 5.9151 8.3319 7.2531
angles: 106.62 114.06 90.00
With the nearest neighbours (Å) after each atom.
Fractional coordinates of all 12 atoms:
Pm 0.6673 0.5830 0.3324  6 Pt 2.95-3.00
Pm 0.6651 0.0830 0.3324  6 Pt 2.95-3.00
Pm 0.3349 0.9170 0.6676  6 Pt 2.95-3.00
Pm 0.3327 0.4170 0.6676  6 Pt 2.95-3.00
Th 0.9993 0.7500 0.0000  6 Pt 2.91-2.96
Th 0.0007 0.2500 0.0000  6 Pt 2.91-2.96
Pt 0.5007 0.2500 0.0000  4 Pm 2.95, 2 Th 2.96
Pt 0.4993 0.7500 0.0000  4 Pm 2.95, 2 Th 2.96
Pt 0.1610 0.0811 0.3240  2 Th 2.91-2.92, 4 Pm 2.96-3.00
Pt 0.8369 0.4189 0.6760  2 Th 2.91-2.92, 4 Pm 2.96-3.00
Pt 0.1631 0.5811 0.3240  2 Th 2.91-2.92, 4 Pm 2.96-3.00
Pt 0.8390 0.9189 0.6760  2 Th 2.91-2.92, 4 Pm 2.96-3.00

Output
* ΔE_f: -1.145 eV per atom
* polymorph energy (0 for the lowest one): 0 meV/atom
* calculated density: 11.86 g/cm³



No. 5
Density functional theory data (PBE) for NiPtN2 after structural relaxation.

abc: 3.8036 3.8036 3.8036
angles: 60.00 60.00 60.00
With the nearest neighbours (Å) after each atom.
Fractional coordinates of all 4 atoms:
Ni 0.0000 0.0000 0.0000  8 N 2.33
Pt 0.5000 0.5000 0.5000  8 N 2.33
N 0.2500 0.2500 0.2500  4 Ni 2.33, 4 Pt 2.33
N 0.7500 0.7500 0.7500  4 Pt 2.33, 4 Ni 2.33

Output
* polymorph energy (0 for the lowest one): 949 meV/atom
* ΔE_f (raw): 1.44 eV per atom
* calculated density: 12.03 g/cm³



No. 6
Density functional theory data (PBE) for ZnInNiH after structural relaxation.

abc: 2.9466 4.1761 4.9389
angles: 78.25 72.56 90.59
With the nearest neighbours (Å) after each atom.
Fractional coordinates of all 4 atoms:
Zn 0.6705 0.4629 0.7061  2 H 2.27-2.35, 1 Ni 2.53
In 0.4350 0.8675 0.1775  1 H 2.14
Ni 0.1720 0.9656 0.7072  1 H 1.56
H 0.3326 0.2406 0.4240  1 Ni 1.56

Output
* polymorph energy (0 for the lowest one): 38 meV/atom
* calculated density: 7.04 g/cm³



No. 7
Density functional theory data (PBE) for CsLiCd2Hg after structural relaxation.

abc: 5.5006 5.5006 5.4999
angles: 90.00 90.00 90.00
With the nearest neighbours (Å) after each atom.
Fractional coordinates of all 5 atoms:
Cs 0.5000 0.5000 0.5000  8 Cd 3.89, 4 Hg 3.89
Li 0.0000 0.0000 0.0000  2 Hg 2.75, 4 Cd 2.75
Hg 0.0000 0.0000 0.5000  2 Li 2.75
Cd 0.0000 0.5000 0.0000  2 Li 2.75
Cd 0.5000 0.0000 0.0000  2 Li 2.75

Output
* ΔE_f: -0.054 eV per atom
* polymorph energy (0 for the lowest one): 0 meV/atom
* calculated density: 5.64 g/cm³



No. 8
Density functional theory data (PBE) for Sc5Tl4 after structural relaxation.

abc: 8.8119 8.8119 6.3359
angles: 90.00 90.00 120.00
With the nearest neighbours (Å) after each atom.
Fractional coordinates of all 18 atoms:
Sc 0.0000 0.7074 0.2500  7 Tl 2.94-3.25
Sc 0.2926 0.2926 0.2500  7 Tl 2.94-3.25
Sc 0.7074 0.0000 0.2500  7 Tl 2.94-3.25
Sc 0.0000 0.2926 0.7500  7 Tl 2.94-3.25
Sc 0.7074 0.7074 0.7500  7 Tl 2.94-3.25
Sc 0.2926 0.0000 0.7500  7 Tl 2.94-3.25
Sc 0.6667 0.3333 0.0000  8 Sc 3.17-3.51, 6 Tl 3.20
Sc 0.3333 0.6667 0.5000  8 Sc 3.17-3.51, 6 Tl 3.20
Sc 0.3333 0.6667 0.0000  8 Sc 3.17-3.51, 6 Tl 3.20
Sc 0.6667 0.3333 0.5000  8 Sc 3.17-3.51, 6 Tl 3.20
Tl 0.0000 0.0000 0.0000  6 Sc 3.03, 2 Tl 3.17
Tl 0.0000 0.0000 0.5000  6 Sc 3.03, 2 Tl 3.17
Tl 0.0000 0.3742 0.2500  9 Sc 2.94-3.25
Tl 0.6258 0.6258 0.2500  9 Sc 2.94-3.25
Tl 0.3742 0.0000 0.2500  9 Sc 2.94-3.25
Tl 0.0000 0.6258 0.7500  9 Sc 2.94-3.25
Tl 0.3742 0.3742 0.7500  9 Sc 2.94-3.25
Tl 0.6258 0.0000 0.7500  9 Sc 2.94-3.25

Output
* ΔE_f: -0.282 eV per atom
* polymorph energy (0 for the lowest one): 0 meV/atom
* calculated density: 8.12 g/cm³



No. 9
Density functional theory data (PBE) for Li2DyTeS4 after structural relaxation.

abc: 7.6324 7.6324 7.8006
angles: 117.84 117.84 88.50
With the nearest neighbours (Å) after each atom.
Fractional coordinates of all 16 atoms:
Li 0.5000 0.0000 0.0000  4 S 2.62-2.74
Li 0.5000 0.0000 0.5000  4 S 2.62-2.74
Li 0.0000 0.0000 0.5000  6 S 2.67-2.87
Li 0.5000 0.5000 0.0000  6 S 2.67-2.87
Dy 0.0000 0.5000 0.0000  6 S 2.74-2.78
Dy 0.0000 0.5000 0.5000  6 S 2.74-2.78
Te 0.5000 0.5000 0.5000  4 S 2.62-2.67
Te 0.0000 0.0000 0.0000  4 S 2.62-2.67
S 0.2356 0.7349 0.9687  2 Li 2.67-2.74, 1 Te 2.67, 2 Dy 2.74-2.78
S 0.7651 0.2645 0.5313  2 Li 2.67-2.74, 1 Te 2.67, 2 Dy 2.74-2.78
S 0.2349 0.7355 0.4687  2 Li 2.67-2.74, 1 Te 2.67, 2 Dy 2.74-2.78
S 0.7645 0.2651 0.0313  2 Li 2.67-2.74, 1 Te 2.67, 2 Dy 2.74-2.78
S 0.7750 0.7863 0.0403  1 Te 2.62, 3 Li 2.62-2.87, 1 Dy 2.74
S 0.7137 0.7250 0.4597  1 Te 2.62, 3 Li 2.62-2.87, 1 Dy 2.74
S 0.2863 0.2750 0.5403  1 Te 2.62, 3 Li 2.62-2.87, 1 Dy 2.74
S 0.2250 0.2137 0.9597  1 Te 2.62, 3 Li 2.62-2.87, 1 Dy 2.74

Output
* ΔE_f (raw): -1.07 eV per atom
* calculated density: 4.17 g/cm³



No. 10
Density functional theory data (PBE) for Rb3La3CrS8 after structural relaxation.

abc: 8.2550 8.2552 9.1566
angles: 116.80 89.99 120.00
With the nearest neighbours (Å) after each atom.
Fractional coordinates of all 15 atoms:
Rb 0.0000 0.0000 0.0000  6 S 3.33-3.38
Rb 0.0000 0.5000 0.0000  6 S 3.33-3.38
Rb 0.5000 0.5000 0.0000  6 S 3.33-3.38
La 0.5000 0.0000 0.5000  6 S 2.86-2.91
La 0.5000 0.5000 0.5000  6 S 2.86-2.91
La 0.0000 0.5000 0.5000  6 S 2.86-2.91
Cr 0.0000 0.0000 0.5000  6 S 2.48
S 0.2660 0.5319 0.2980  3 La 2.86
S 0.7340 0.4681 0.7020  3 La 2.86
S 0.7972 0.5943 0.3238  1 Cr 2.48
S 0.2028 0.4057 0.6762  1 Cr 2.48
S 0.7972 0.0266 0.3238  1 Cr 2.48
S 0.2028 0.9734 0.6762  1 Cr 2.48
S 0.2295 0.0266 0.3238  1 Cr 2.48
S 0.7705 0.9734 0.6762  1 Cr 2.48

Output
* ΔE_f (raw): -1.52 eV per atom
* calculated density: 3.53 g/cm³



No. 11
Density functional theory data (PBE) for CdTc2W after structural relaxation.

abc: 2.7419 2.7419 9.3801
angles: 90.00 90.00 111.53
With the nearest neighbours (Å) after each atom.
Fractional coordinates of all 4 atoms:
Cd 0.5000 0.5000 0.7539  4 Cd 2.74, 2 Tc 2.93, 2 W 3.00
Tc 0.0000 0.0000 0.0196  6 Tc 2.63-2.74, 2 Cd 2.93
Tc 0.5000 0.5000 0.2469  6 Tc 2.63-2.74, 2 W 2.67
W 0.0000 0.0000 0.4796  2 Tc 2.67, 4 W 2.74

Output
* ΔE_f: 0.387 eV per atom
* calculated density: 12.46 g/cm³



No. 12
Density functional theory data (PBE) for LaYHo2 after structural relaxation.

abc: 3.6175 3.6175 11.7616
angles: 81.15 81.15 60.00
With the nearest neighbours (Å) after each atom.
Fractional coordinates of all 4 atoms:
La 0.6662 0.6662 0.0014  6 Ho 3.60-3.63, 6 La 3.62
Y 0.5005 0.5005 0.4986  6 Ho 3.51-3.53, 6 Y 3.62
Ho 0.0850 0.0850 0.7449  3 Y 3.53, 6 Ho 3.62, 3 La 3.63
Ho 0.2483 0.2483 0.2551  3 Y 3.51, 3 La 3.60, 6 Ho 3.62

Output
* ΔE_f: 0.009 eV per atom
* polymorph energy (0 for the lowest one): 0 meV/atom
* calculated density: 7.06 g/cm³



Among the records above, which one has the lowest calculated density?
Rb3La3CrS8